# LaCe3Ga2, optimized geometry, DFT PBE-GGA
# E_form: -363 meV per atom
# Calculated density: 7.6 g/cm³
data_LaCe3Ga2
_chemical_formula_sum 'La4 Ce12 Ga8'
_cell_length_a 18.258
_cell_length_b 4.605
_cell_length_c 8.018
_cell_angle_alpha 90.00
_cell_angle_beta 115.59
_cell_angle_gamma 90.00
_symmetry_space_group_name_H-M 'C 1 2/m 1'
_symmetry_Int_Tables_number 12
loop_
_symmetry_equiv_pos_as_xyz
'x,y,z'
'-x,-y,-z'
'-x,y,-z'
'x,-y,z'
'x+1/2,y+1/2,z'
'-x+1/2,-y+1/2,-z'
'-x+1/2,y+1/2,-z'
'x+1/2,-y+1/2,z'
loop_
_atom_site_label
_atom_site_type_symbol
_atom_site_fract_x
_atom_site_fract_y
_atom_site_fract_z
_atom_site_occupancy
La1 La 0.113 0.000 0.183 1
Ce1 Ce 0.065 0.000 0.668 1
Ce2 Ce 0.129 0.500 0.568 1
Ce3 Ce 0.203 0.500 0.970 1
Ga1 Ga 0.015 0.500 0.846 1
Ga2 Ga 0.248 0.000 0.614 1

# LaCeGa, optimized geometry, DFT PBE-GGA
# Offset from the most stable computed form: 36 meV per atom
# E_form: -359 meV per atom
# Calculated density: 7.4 g/cm³
data_LaCeGa
_chemical_formula_sum 'La2 Ce2 Ga2'
_cell_length_a 3.711
_cell_length_b 5.192
_cell_length_c 8.269
_cell_angle_alpha 90.00
_cell_angle_beta 101.20
_cell_angle_gamma 90.00
_symmetry_space_group_name_H-M 'P 1 21/m 1'
_symmetry_Int_Tables_number 11
loop_
_symmetry_equiv_pos_as_xyz
'x,y,z'
'-x,-y,-z'
'-x,y+1/2,-z'
'x,-y+1/2,z'
loop_
_atom_site_label
_atom_site_type_symbol
_atom_site_fract_x
_atom_site_fract_y
_atom_site_fract_z
_atom_site_occupancy
La1 La 0.088 0.250 0.128 1
Ce1 Ce 0.194 0.750 0.522 1
Ga1 Ga 0.404 0.250 0.782 1

# LaCeGa4, optimized geometry, DFT PBE-GGA
# Offset from the most stable computed form: 12 meV per atom
# E_form: -637 meV per atom
# Calculated density: 6.7 g/cm³
data_LaCeGa4
_chemical_formula_sum 'La2 Ce2 Ga8'
_cell_length_a 4.306
_cell_length_b 4.306
_cell_length_c 14.950
_cell_angle_alpha 90.00
_cell_angle_beta 90.00
_cell_angle_gamma 90.00
_symmetry_space_group_name_H-M 'I -4 m 2'
_symmetry_Int_Tables_number 119
_symmetry_space_group_name_Hall 'I -4 -2'
loop_
_atom_site_label
_atom_site_type_symbol
_atom_site_fract_x
_atom_site_fract_y
_atom_site_fract_z
_atom_site_occupancy
La1 La 0.000 0.000 0.000 1
Ce1 Ce 0.000 0.500 0.250 1
Ga1 Ga 0.000 0.000 0.416 1
Ga2 Ga 0.000 0.500 0.668 1

# La2CeGa, optimized geometry, DFT PBE-GGA
# Offset from the most stable computed form: 0 meV per atom
# E_form: -219 meV per atom
# Calculated density: 7.1 g/cm³
data_La2CeGa
_chemical_formula_sum 'La2 Ce1 Ga1'
_cell_length_a 4.901
_cell_length_b 4.901
_cell_length_c 4.737
_cell_angle_alpha 90.00
_cell_angle_beta 90.00
_cell_angle_gamma 90.00
_symmetry_space_group_name_H-M 'P 4/m m m'
_symmetry_Int_Tables_number 123
_symmetry_space_group_name_Hall '-P 4 2'
loop_
_atom_site_label
_atom_site_type_symbol
_atom_site_fract_x
_atom_site_fract_y
_atom_site_fract_z
_atom_site_occupancy
La1 La 0.000 0.500 0.000 1
Ce1 Ce 0.000 0.000 0.500 1
Ga1 Ga 0.500 0.500 0.500 1

# La2CeGa, optimized geometry, DFT PBE-GGA
# Offset from the most stable computed form: 221 meV per atom
# E_form: 2 meV per atom
# Calculated density: 6.4 g/cm³
data_La2CeGa
_chemical_formula_sum 'La6 Ce3 Ga3'
_cell_length_a 4.6263
_cell_length_b 4.6263
_cell_length_c 20.6273
_cell_angle_alpha 90.00
_cell_angle_beta 90.00
_cell_angle_gamma 120.00
_symmetry_space_group_name_H-M 'R 3 m'
_symmetry_Int_Tables_number 160
_symmetry_space_group_name_Hall 'R 3 -2"'
loop_
_atom_site_label
_atom_site_type_symbol
_atom_site_fract_x
_atom_site_fract_y
_atom_site_fract_z
_atom_site_occupancy
La1 La 0.0000 0.0000 0.0000 1
La2 La 0.0000 0.0000 0.1922 1
Ce1 Ce 0.0000 0.0000 0.3946 1
Ga1 Ga 0.0000 0.0000 0.5998 1

# La2CeGa, optimized geometry, DFT PBE-GGA
# Offset from the most stable computed form: 154 meV per atom
# E_form: -65 meV per atom
# Calculated density: 7.2 g/cm³
data_La2CeGa
_chemical_formula_sum 'La8 Ce4 Ga4'
_cell_length_a 7.676
_cell_length_b 7.676
_cell_length_c 7.676
_cell_angle_alpha 90.00
_cell_angle_beta 90.00
_cell_angle_gamma 90.00
_symmetry_space_group_name_H-M 'F m -3 m'
_symmetry_Int_Tables_number 225
_symmetry_space_group_name_Hall '-F 4 2 3'
loop_
_atom_site_label
_atom_site_type_symbol
_atom_site_fract_x
_atom_site_fract_y
_atom_site_fract_z
_atom_site_occupancy
La1 La 0.250 0.250 0.250 1
Ce1 Ce 0.000 0.000 0.000 1
Ga1 Ga 0.000 0.000 0.500 1

The following uncorrected energy values (in eV/atom) correspond, in order, to the records above: -5.16; -4.99; -4.47; -4.92; -4.70; -4.77.
The following total moment values (in μB/atom) correspond, in order, to the records above: 0.01; 0.17; 0.08; 0.21; 0.22; 0.58.